No. 1
The following is a GGA-PBE calculation of an optimized crystal structure of MgAgAsO, from OQMD via LeMat-Bulk.

Calculated values
The polymorph energy (0 for the lowest one) comes out at 3.520 eV/f.u. Its crystal system is tetragonal.

Cell: 4.5020 4.5020 7.8141 Å, 90.00 90.00 90.00°
Element x y z (fractional)
1 O 0.7500 0.2500 0.0000
2 O 0.2500 0.7500 0.0000
3 Mg 0.7500 0.2500 0.5000
4 Mg 0.2500 0.7500 0.5000
5 As 0.7500 0.7500 0.3307
6 As 0.2500 0.2500 0.6693
7 Ag 0.7500 0.7500 0.0010
8 Ag 0.2500 0.2500 0.9990

No. 2
The following is a GGA-PBE calculation of an optimized crystal structure of MgAgAsPt, from OQMD via LeMat-Bulk.

Calculated values
The polymorph energy (0 for the lowest one) comes out at 0.000 eV/f.u. Its crystal system is cubic. Its total magnetic moment is 0.00 Bohr magnetons per cell.

Cell: 4.5863 4.5863 4.5863 Å, 60.00 60.00 60.00°
Element x y z (fractional)
1 As 0.2500 0.2500 0.2500
2 Pt 0.5000 0.5000 0.5000
3 Ag 0.0000 0.0000 0.0000
4 Mg 0.7500 0.7500 0.7500

No. 3
The following is a GGA-PBE calculation of an optimized crystal structure of Mg2Ag2SbAs, from OQMD via LeMat-Bulk.

Calculated values
Its crystal system is monoclinic.

Cell: 11.0868 4.5675 11.1178 Å, 90.00 110.26 90.00°
Element x y z (fractional)
1 Ag 0.7608 0.0000 0.2595
2 Ag 0.3741 0.5000 0.1278
3 Ag 0.8725 0.5000 0.6286
4 Ag 0.1151 0.5000 0.3597
5 Ag 0.5076 0.0000 0.5138
6 Ag 0.2576 0.0000 0.7443
7 Ag 0.9883 0.0000 0.9901
8 Ag 0.6270 0.5000 0.8770
9 As 0.8702 0.5000 0.8722
10 As 0.7535 0.0000 0.5053
11 As 0.9983 0.0000 0.2408
12 As 0.5074 0.0000 0.7571
13 Sb 0.2468 0.0000 0.9960
14 Sb 0.1246 0.5000 0.6187
15 Sb 0.3779 0.5000 0.3810
16 Sb 0.6292 0.5000 0.1309
17 Mg 0.2430 0.0000 0.4866
18 Mg 0.7471 0.0000 0.0000
19 Mg 0.8740 0.5000 0.3824
20 Mg 0.9961 0.0000 0.7454
21 Mg 0.5099 0.0000 0.2632
22 Mg 0.1097 0.5000 0.1117
23 Mg 0.6300 0.5000 0.6346
24 Mg 0.3793 0.5000 0.8731

No. 4
The following is a GGA-PBE calculation of an optimized crystal structure of AgMoAs, from OQMD via LeMat-Bulk.

Calculated values
Its crystal system is cubic. Its total magnetic moment is 3.50 Bohr magnetons per cell.

Cell: 4.4553 4.4553 4.4553 Å, 60.00 60.00 60.00°
Element x y z (fractional)
1 Mo 0.7500 0.7500 0.7500
2 Ag 0.0000 0.0000 0.0000
3 As 0.2500 0.2500 0.2500

No. 5
The following is a GGA-PBE calculation of an optimized crystal structure of AgMo3As5, from OQMD via LeMat-Bulk.

Calculated values
Its crystal system is hexagonal. Its total magnetic moment is 0.00 Bohr magnetons per cell.

Cell: 5.3311 5.3311 7.6008 Å, 90.00 90.00 120.00°
Element x y z (fractional)
1 Mo 0.5000 0.5000 0.5000
2 Mo 0.0000 0.5000 0.5000
3 Mo 0.5000 0.0000 0.5000
4 As 0.3333 0.6667 0.2129
5 As 0.6667 0.3333 0.2129
6 As 0.6667 0.3333 0.7871
7 As 0.0000 0.0000 0.5000
8 As 0.3333 0.6667 0.7871
9 Ag 0.0000 0.0000 0.0000

No. 6
The following is a GGA-PBE calculation of an optimized crystal structure of Ag2MoAs, from OQMD via LeMat-Bulk.

Calculated values
Its crystal system is cubic. Its total magnetic moment is 0.11 Bohr magnetons per cell.

Cell: 4.5414 4.5414 4.5414 Å, 60.00 60.00 60.00°
Last column: magnetic moment on the atom in μB.
Element x y z (fractional)
1 Mo 0.2500 0.2500 0.2500  0.09
2 Ag 0.0000 0.0000 0.0000  0.00
3 Ag 0.7500 0.7500 0.7500  0.00
4 As 0.5000 0.5000 0.5000  0.00

Number 1: VASP energy -3.4854 eV/atom. Number 2: VASP energy -4.0157 eV/atom. Number 3: VASP energy -3.1389 eV/atom. Number 4: VASP energy -5.0792 eV/atom. Number 5: VASP energy -6.3362 eV/atom. Number 6: VASP energy -4.8190 eV/atom.